PaTiTe4 | PBE | optimized geometry

Results
N(E_F): 0.92 states/eV/atom
ΔE_f (raw): -0.72 eV/atom

a = 6.9829 Å, b = 4.0951 Å, c = 7.0078 Å
α = 90.00°, β = 90.02°, γ = 90.00°
Element x y z (fractional)
Pa (0.0000, 0.0000, 0.0000)
Ti (0.0000, 0.5000, 0.5000)
Te (0.2429, 0.0000, 0.3522)
Te (0.2597, 0.5000, 0.8141)
Te (0.7403, 0.5000, 0.1859)
Te (0.7571, 0.0000, 0.6478)



SiC2N6F6 | PBE | optimized geometry

Results
relative energy among the computed polymorphs: 0.0 meV/atom
ΔE_f (raw): -0.14 eV/atom

a = 7.1462 Å, b = 7.1462 Å, c = 6.9660 Å
α = 110.88°, β = 110.88°, γ = 59.45°
Element x y z (fractional)
Si (0.0000, 0.0000, 0.0000)
C (0.2383, 0.2383, 0.7345)
C (0.7422, 0.7422, 0.2942)
N (0.0449, 0.4026, 0.6740)
N (0.2887, 0.2887, 0.9462)
N (0.4026, 0.0449, 0.6740)
N (0.6084, 0.9684, 0.3226)
N (0.6237, 0.6237, 0.2230)
N (0.9684, 0.6084, 0.3226)
F (0.0871, 0.0871, 0.2408)
F (0.0873, 0.7350, 0.4007)
F (0.2030, 0.8402, 0.8879)
F (0.7350, 0.0873, 0.4007)
F (0.8402, 0.2030, 0.8879)
F (0.8682, 0.8682, 0.9788)



Nd6AlZn2 | PBE | optimized geometry

Results
energy relative to the elements: -0.175 eV per atom
N(E_F): 1.22 states/eV/atom

a = 8.8098 Å, b = 8.8098 Å, c = 8.8098 Å
α = 109.85°, β = 109.36°, γ = 109.21°
Element x y z (fractional)
Nd (0.0450, 0.8209, 0.2241)
Nd (0.2469, 0.5454, 0.2985)
Nd (0.2469, 0.9484, 0.7015)
Nd (0.2659, 0.3187, 0.5845)
Nd (0.2659, 0.6813, 0.9472)
Nd (0.4032, 0.1791, 0.2241)
Nd (0.5968, 0.8209, 0.7759)
Nd (0.7341, 0.3187, 0.0528)
Nd (0.7341, 0.6813, 0.4155)
Nd (0.7531, 0.0516, 0.2985)
Nd (0.7531, 0.4546, 0.7015)
Nd (0.9550, 0.1791, 0.7759)
Al (0.0000, 0.5000, 0.5000)
Al (0.5000, 0.0000, 0.5000)
Zn (0.0000, 0.1322, 0.1322)
Zn (0.0000, 0.8678, 0.8678)
Zn (0.3747, 0.3747, 0.0000)
Zn (0.6253, 0.6253, 0.0000)



What is the formula in the third record?
Nd6AlZn2